First-principles (GGA-PBE) data for an optimized crystal structure of Mg5Ag4, as listed in Alexandria.

Lattice parameters (Å, degrees): 8.792 8.792 4.459 90.00 90.00 90.00
Space group I4/mmm (No. 139)
Unique sites:
Mg (0.000, 0.000, 0.000) x2
Mg (0.172, 0.172, 0.500) x8
Ag (0.000, 0.330, 0.000) x8

Values from the calculation:
Formation energy from the elements (meV/atom): -135
Distance to the lowest polymorph of the same formula (meV/atom): 49
D(E_F) (states/eV/atom): 0.3438